Entry from OQMD: crystalline LuCoNO at its relaxed geometry (GGA+U).

a = 3.5613 Å, b = 5.7956 Å, c = 5.4475 Å
α = 90.00°, β = 90.00°, γ = 90.00°
Fractional coordinates of all 8 atoms:
Lu  0.0000  0.1950  0.0000
Lu  0.0000  0.8050  0.5000
Co  0.5000  0.3321  0.5013
Co  0.5000  0.6679  0.0013
N  0.5000  0.3529  0.8601
N  0.5000  0.6471  0.3601
O  0.0000  0.1585  0.3919
O  0.0000  0.8415  0.8919

Energy ... -7.11 eV per atom